Record 1
Computed, not measured: a relaxed structure of KRh at the PBEsol level of DFT.

The density of states at the Fermi level is 3.62 states/eV per cell. As for the relative energy among the computed polymorphs: 0.00 kcal/mol of atoms. For the total energy, the calculation gives -4.170 eV per atom.

Unit cell a=2.819 b=4.044 c=9.626 alpha=90.00 beta=90.00 gamma=90.00
Space group Pmmn (No. 59, origin choice 2)
Inequivalent atoms, fractional coordinates:
1 K 0.250 0.250 0.220 (multiplicity 2)
2 Rh 0.250 0.750 0.466 (multiplicity 2)


Record 2
Computed, not measured: a relaxed structure of Be2NiAg at the PBEsol level of DFT.

The density of states at the Fermi level is 3.09 states/eV per cell. For the total energy, the calculation gives -4.349 eV per atom.

Unit cell a=3.333 b=3.333 c=7.748 alpha=90.00 beta=90.00 gamma=90.00
Space group I-4m2 (No. 119)
Inequivalent atoms, fractional coordinates:
1 Be 0.000 0.000 0.000 (multiplicity 2)
2 Be 0.000 0.500 0.250 (multiplicity 2)
3 Ni 0.000 0.000 0.500 (multiplicity 2)
4 Ag 0.000 0.500 0.750 (multiplicity 2)